Material: DyY2In3Ir2Au
Method: DFT, PBE
State: relaxed

a b c (Å): 3.875 7.672 7.672
angles (deg): 119.73 90.00 90.00
Element x y z (fractional)
Dy (0.000, 0.000, 0.000)
Y (0.000, 0.410, 0.820)
Y (0.000, 0.820, 0.410)
In (0.500, 0.141, 0.411)
In (0.500, 0.411, 0.141)
In (0.500, 0.678, 0.678)
Ir (0.500, 0.076, 0.746)
Ir (0.500, 0.746, 0.076)
Au (0.000, 0.409, 0.409)

DFT total energy = -53.06 eV per cell
Space-group type = Amm2, No. 38

Material: Tm5Tl4Zn
Method: DFT, PBE
State: relaxed

a b c (Å): 3.588 3.588 19.814
angles (deg): 90.00 90.00 90.00
Element x y z (fractional)
Tm (0.000, 0.000, 0.000)
Tm (0.000, 0.000, 0.208)
Tm (0.000, 0.000, 0.415)
Tm (0.000, 0.000, 0.585)
Tm (0.000, 0.000, 0.792)
Tl (0.500, 0.500, 0.105)
Tl (0.500, 0.500, 0.312)
Tl (0.500, 0.500, 0.688)
Tl (0.500, 0.500, 0.895)
Zn (0.500, 0.500, 0.500)

DFT total energy = -36.18 eV per cell
Space-group type = P4/mmm, No. 123

Material: GdSiSn
Method: DFT, PBE
State: relaxed

a b c (Å): 6.977 6.977 6.977
angles (deg): 90.00 90.00 90.00
Element x y z (fractional)
Gd (0.000, 0.000, 0.000)
Gd (0.000, 0.500, 0.500)
Gd (0.500, 0.000, 0.500)
Gd (0.500, 0.500, 0.000)
Si (0.250, 0.250, 0.750)
Si (0.250, 0.750, 0.250)
Si (0.750, 0.250, 0.250)
Si (0.750, 0.750, 0.750)
Sn (0.250, 0.250, 0.250)
Sn (0.250, 0.750, 0.750)
Sn (0.750, 0.250, 0.750)
Sn (0.750, 0.750, 0.250)

Polymorph energy (0 for the lowest one) = 19.5 kJ per mole of atoms
Space-group type = F-43m, No. 216

Material: GePdO3
Method: DFT, PBE
State: relaxed

a b c (Å): 5.639 5.639 5.639
angles (deg): 57.15 57.15 57.15
Element x y z (fractional)
Ge (0.250, 0.250, 0.250)
Ge (0.750, 0.750, 0.750)
Pd (0.000, 0.000, 0.000)
Pd (0.500, 0.500, 0.500)
O (0.077, 0.750, 0.423)
O (0.250, 0.577, 0.923)
O (0.423, 0.077, 0.750)
O (0.577, 0.923, 0.250)
O (0.750, 0.423, 0.077)
O (0.923, 0.250, 0.577)

DFT total energy = -56.72 eV per cell
Space-group type = R-3c, No. 167

Material: Ho3Al3CuIr2
Method: DFT, PBE
State: relaxed

a b c (Å): 6.983 6.983 4.030
angles (deg): 90.00 90.00 120.00
Element x y z (fractional)
Ho (0.000, 0.413, 0.000)
Ho (0.413, 0.000, 0.000)
Ho (0.587, 0.587, 0.000)
Al (0.000, 0.759, 0.500)
Al (0.241, 0.241, 0.500)
Al (0.759, 0.000, 0.500)
Cu (0.000, 0.000, 0.000)
Ir (0.333, 0.667, 0.500)
Ir (0.667, 0.333, 0.500)

DFT total energy = -53.22 eV per cell
Space-group type = P-62m, No. 189

Material: LaErMg
Method: DFT, PBE
State: relaxed

a b c (Å): 7.529 7.529 7.529
angles (deg): 90.00 90.00 90.00
Element x y z (fractional)
La (0.000, 0.000, 0.000)
La (0.000, 0.500, 0.500)
La (0.500, 0.000, 0.500)
La (0.500, 0.500, 0.000)
Er (0.000, 0.000, 0.500)
Er (0.000, 0.500, 0.000)
Er (0.500, 0.000, 0.000)
Er (0.500, 0.500, 0.500)
Mg (0.250, 0.250, 0.750)
Mg (0.250, 0.750, 0.250)
Mg (0.750, 0.250, 0.250)
Mg (0.750, 0.750, 0.750)

Polymorph energy (0 for the lowest one) = 24.9 kJ per mole of atoms
Space-group type = F-43m, No. 216

Material: Ba5Re3ClO15
Method: DFT, PBE
State: relaxed

a b c (Å): 10.914 10.914 7.765
angles (deg): 90.00 90.00 120.00
Element x y z (fractional)
Ba (0.000, 0.259, 0.000)
Ba (0.000, 0.741, 0.500)
Ba (0.259, 0.000, 0.000)
Ba (0.259, 0.259, 0.500)
Ba (0.333, 0.667, 0.261)
Ba (0.333, 0.667, 0.761)
Ba (0.667, 0.333, 0.261)
Ba (0.667, 0.333, 0.761)
Ba (0.741, 0.000, 0.500)
Ba (0.741, 0.741, 0.000)
Re (0.000, 0.391, 0.553)
Re (0.000, 0.609, 0.053)
Re (0.391, 0.000, 0.553)
Re (0.391, 0.391, 0.053)
Re (0.609, 0.000, 0.053)
Re (0.609, 0.609, 0.553)
Cl (0.000, 0.000, 0.221)
Cl (0.000, 0.000, 0.721)
O (0.000, 0.293, 0.372)
O (0.000, 0.707, 0.872)
O (0.132, 0.552, 0.014)
O (0.132, 0.580, 0.514)
O (0.134, 0.388, 0.696)
O (0.134, 0.745, 0.196)
O (0.255, 0.388, 0.196)
O (0.255, 0.866, 0.696)
O (0.293, 0.000, 0.372)
O (0.293, 0.293, 0.872)
O (0.388, 0.134, 0.696)
O (0.388, 0.255, 0.196)
O (0.420, 0.552, 0.514)
O (0.420, 0.868, 0.014)
O (0.448, 0.580, 0.014)
O (0.448, 0.868, 0.514)
O (0.552, 0.132, 0.014)
O (0.552, 0.420, 0.514)
O (0.580, 0.132, 0.514)
O (0.580, 0.448, 0.014)
O (0.612, 0.745, 0.696)
O (0.612, 0.866, 0.196)
O (0.707, 0.000, 0.872)
O (0.707, 0.707, 0.372)
O (0.745, 0.134, 0.196)
O (0.745, 0.612, 0.696)
O (0.866, 0.255, 0.696)
O (0.866, 0.612, 0.196)
O (0.868, 0.420, 0.014)
O (0.868, 0.448, 0.514)

DFT total energy = -356.65 eV per cell
Space-group type = P6_3cm, No. 185

Material: InNi21B20
Method: DFT, PBE
State: relaxed

a b c (Å): 7.171 7.171 7.171
angles (deg): 90.00 90.00 90.00
Element x y z (fractional)
In (0.000, 0.000, 0.000)
Ni (0.000, 0.000, 0.500)
Ni (0.000, 0.288, 0.288)
Ni (0.000, 0.288, 0.712)
Ni (0.000, 0.500, 0.000)
Ni (0.000, 0.712, 0.288)
Ni (0.000, 0.712, 0.712)
Ni (0.230, 0.500, 0.500)
Ni (0.288, 0.000, 0.288)
Ni (0.288, 0.000, 0.712)
Ni (0.288, 0.288, 0.000)
Ni (0.288, 0.712, 0.000)
Ni (0.500, 0.000, 0.000)
Ni (0.500, 0.230, 0.500)
Ni (0.500, 0.500, 0.230)
Ni (0.500, 0.500, 0.770)
Ni (0.500, 0.770, 0.500)
Ni (0.712, 0.000, 0.288)
Ni (0.712, 0.000, 0.712)
Ni (0.712, 0.288, 0.000)
Ni (0.712, 0.712, 0.000)
Ni (0.770, 0.500, 0.500)
B (0.199, 0.199, 0.500)
B (0.199, 0.500, 0.199)
B (0.199, 0.500, 0.801)
B (0.199, 0.801, 0.500)
B (0.293, 0.293, 0.293)
B (0.293, 0.293, 0.707)
B (0.293, 0.707, 0.293)
B (0.293, 0.707, 0.707)
B (0.500, 0.199, 0.199)
B (0.500, 0.199, 0.801)
B (0.500, 0.801, 0.199)
B (0.500, 0.801, 0.801)
B (0.707, 0.293, 0.293)
B (0.707, 0.293, 0.707)
B (0.707, 0.707, 0.293)
B (0.707, 0.707, 0.707)
B (0.801, 0.199, 0.500)
B (0.801, 0.500, 0.199)
B (0.801, 0.500, 0.801)
B (0.801, 0.801, 0.500)

DFT total energy = -264.03 eV per cell
Space-group type = Pm-3m, No. 221